Record 1
{
  "formula": "Na9Fe2O7",
  "functional": "meta-GGA SCAN",
  "state": "PBEsol geometry",
  "cell": [[-2.172, 0.225, -9.213], [-5.892, -7.846, 1.197], [-7.887, 6.229, 2.012]],
  "species": ["O", "O", "O", "O", "O", "O", "O", "O", "O", "O", "O", "O", "O", "O", "O", "O", "O", "O", "O", "O", "O", "O", "O", "O", "O", "O", "O", "O", "Na", "Na", "Na", "Na", "Na", "Na", "Na", "Na", "Na", "Na", "Na", "Na", "Na", "Na", "Na", "Na", "Na", "Na", "Na", "Na", "Na", "Na", "Na", "Na", "Na", "Na", "Na", "Na", "Na", "Na", "Na", "Na", "Na", "Na", "Na", "Na", "Fe", "Fe", "Fe", "Fe", "Fe", "Fe", "Fe", "Fe"],
  "frac_coords": [[0.657, 0.420, 0.409], [0.157, 0.580, 0.409], [0.043, 0.778, 0.047], [0.843, 0.420, 0.909], [0.957, 0.222, 0.547], [0.407, 0.925, 0.819], [0.332, 0.066, 0.561], [0.832, 0.934, 0.561], [0.802, 0.715, 0.332], [0.093, 0.925, 0.319], [0.089, 0.420, 0.151], [0.654, 0.165, 0.668], [0.911, 0.580, 0.651], [0.846, 0.165, 0.168], [0.907, 0.075, 0.819], [0.302, 0.285, 0.332], [0.154, 0.835, 0.668], [0.168, 0.066, 0.061], [0.457, 0.778, 0.547], [0.411, 0.420, 0.651], [0.198, 0.285, 0.832], [0.343, 0.580, 0.909], [0.346, 0.835, 0.168], [0.589, 0.580, 0.151], [0.593, 0.075, 0.319], [0.543, 0.222, 0.047], [0.698, 0.715, 0.832], [0.668, 0.934, 0.061], [0.223, 0.783, 0.888], [0.847, 0.943, 0.325], [0.723, 0.217, 0.888], [0.277, 0.783, 0.388], [0.153, 0.057, 0.825], [0.842, 0.392, 0.133], [0.088, 0.016, 0.525], [0.485, 0.657, 0.737], [0.929, 0.833, 0.753], [0.211, 0.276, 0.557], [0.986, 0.759, 0.487], [0.711, 0.724, 0.557], [0.075, 0.547, 0.968], [0.985, 0.343, 0.737], [0.571, 0.833, 0.253], [0.912, 0.984, 0.025], [0.777, 0.217, 0.388], [0.347, 0.057, 0.325], [0.014, 0.241, 0.987], [0.071, 0.167, 0.253], [0.514, 0.759, 0.987], [0.515, 0.343, 0.237], [0.015, 0.657, 0.237], [0.158, 0.608, 0.633], [0.925, 0.453, 0.468], [0.575, 0.453, 0.968], [0.412, 0.016, 0.025], [0.429, 0.167, 0.753], [0.342, 0.608, 0.133], [0.486, 0.241, 0.487], [0.588, 0.984, 0.525], [0.658, 0.392, 0.633], [0.789, 0.724, 0.057], [0.425, 0.547, 0.468], [0.289, 0.276, 0.057], [0.653, 0.943, 0.825], [0.840, 0.102, 0.647], [0.311, 0.432, 0.805], [0.340, 0.898, 0.647], [0.811, 0.568, 0.805], [0.160, 0.898, 0.147], [0.189, 0.432, 0.305], [0.660, 0.102, 0.147], [0.689, 0.568, 0.305]],
  "m_tot_mub_per_atom": 0.499,
  "dft_energy_ev_per_atom": -8.107,
  "raw_formation_energy_ev_per_atom": -1.562,
  "space_group": "Pca2_1 (29)"
}

Record 2
{
  "formula": "NaFePO4",
  "functional": "meta-GGA SCAN",
  "state": "PBEsol geometry",
  "cell": [[4.990, -0.009, 0.000], [-2.077, 4.537, 0.000], [0.000, 0.000, 6.765]],
  "species": ["Fe", "Fe", "P", "P", "O", "O", "O", "O", "O", "O", "O", "O", "Na", "Na"],
  "frac_coords": [[0.000, 0.000, 0.500], [0.000, 0.000, 0.000], [0.336, 0.664, 0.250], [0.664, 0.336, 0.750], [0.680, 0.793, 0.250], [0.207, 0.320, 0.250], [0.772, 0.228, 0.934], [0.228, 0.772, 0.066], [0.793, 0.680, 0.750], [0.772, 0.228, 0.566], [0.320, 0.207, 0.750], [0.228, 0.772, 0.434], [0.684, 0.316, 0.250], [0.316, 0.684, 0.750]],
  "m_tot_mub_per_atom": 0.571,
  "dft_energy_ev_per_atom": -10.458,
  "raw_formation_energy_ev_per_atom": -2.219,
  "space_group": "Cmcm (63)"
}

Record 3
{
  "formula": "NaFe3P3O13",
  "functional": "meta-GGA SCAN",
  "state": "PBEsol geometry",
  "cell": [[-5.395, 1.583, 2.632], [0.763, -5.560, 4.908], [4.733, 7.417, 5.242]],
  "species": ["P", "P", "P", "P", "P", "P", "O", "O", "O", "O", "O", "O", "O", "O", "O", "O", "O", "O", "O", "O", "O", "O", "O", "O", "O", "O", "O", "O", "O", "O", "O", "O", "Fe", "Fe", "Fe", "Fe", "Fe", "Fe", "Na", "Na"],
  "frac_coords": [[0.250, 0.257, 0.238], [0.250, 0.781, 0.516], [0.750, 0.688, 0.110], [0.750, 0.743, 0.762], [0.750, 0.219, 0.484], [0.250, 0.312, 0.890], [0.454, 0.203, 0.915], [0.055, 0.748, 0.421], [0.250, 0.507, 0.965], [0.250, 0.881, 0.912], [0.250, 0.214, 0.379], [0.250, 0.976, 0.593], [0.046, 0.203, 0.915], [0.555, 0.628, 0.792], [0.750, 0.924, 0.860], [0.555, 0.252, 0.579], [0.750, 0.651, 0.255], [0.945, 0.628, 0.792], [0.750, 0.354, 0.386], [0.250, 0.076, 0.140], [0.954, 0.797, 0.085], [0.750, 0.119, 0.088], [0.445, 0.372, 0.208], [0.055, 0.372, 0.208], [0.250, 0.646, 0.614], [0.945, 0.252, 0.579], [0.750, 0.786, 0.621], [0.250, 0.349, 0.745], [0.750, 0.493, 0.035], [0.546, 0.797, 0.085], [0.750, 0.024, 0.407], [0.445, 0.748, 0.421], [0.500, 0.000, 0.000], [0.250, 0.646, 0.804], [0.250, 0.218, 0.563], [0.000, 0.000, 0.000], [0.750, 0.782, 0.437], [0.750, 0.354, 0.196], [0.250, 0.668, 0.195], [0.750, 0.332, 0.805]],
  "dos_at_fermi_per_ev_cell": 6.51,
  "m_tot_mub_per_atom": 0.700,
  "dft_energy_ev_per_atom": -10.654,
  "raw_formation_energy_ev_per_atom": -2.114,
  "space_group": "P2_1/m (11)"
}